Record 1
PBE ZrHgIr2Os, relaxed; DFT total energy = -5.505 eV per atom; formation energy from the elements = 2.056 eV/atom; SG = P4/mmm
1.0
-2.9817 -3.7015 0.8822
3.0486 -2.9945 -2.2603
2.2828 -0.8399 4.1917
Zr Hg Ir Os
1 1 2 1
direct
0.5000 0.5000 0.5000
0.0000 0.0000 0.0000
0.5000 0.0000 0.0000
0.0000 0.5000 0.0000
0.0000 0.0000 0.5000

---

Record 2
PBE HgPIr2, relaxed; DFT total energy = -5.798 eV per atom; formation energy from the elements = 0.060 eV/atom; energy relative to the lowest polymorph listed for this composition = 37.3 meV/atom; SG = P2/m
1.0
2.8969 0.0000 0.0000
0.0000 2.8990 0.3762
0.0000 4.8307 8.3802
Ir Hg P
2 1 1
direct
0.0000 0.3856 0.4315
0.0000 0.1144 0.0685
0.5000 0.7500 0.7500
0.5000 0.2500 0.2500

---

Record 3
PBE HgPIr2, relaxed; DFT total energy = -5.207 eV per atom; formation energy from the elements = 0.651 eV/atom; energy relative to the lowest polymorph listed for this composition = 628.5 meV/atom; SG = C2/m
1.0
4.9932 0.0030 0.0095
-2.5099 4.7340 0.0128
-0.0267 0.8745 2.7594
P Ir Hg
1 2 1
direct
0.0000 0.5000 0.5000
0.0000 0.0000 0.0000
0.5000 0.0000 0.5000
0.5000 0.5000 0.0000

---

Record 4
PBE Hg2PIr, relaxed; DFT total energy = -3.630 eV per atom; formation energy from the elements = 0.088 eV/atom; SG = Pm
1.0
-1.5323 -2.1773 2.0773
-1.5749 -3.2651 -4.5839
3.1175 -4.3830 -2.2943
Ir Hg P
1 2 1
direct
0.0000 0.5307 0.5301
0.0000 0.9990 0.9985
0.5000 0.3021 0.3041
0.5000 0.6681 0.6673

---

Record 5
PBE HgPIr2, relaxed; DFT total energy = -5.135 eV per atom; formation energy from the elements = 0.724 eV/atom; energy relative to the lowest polymorph listed for this composition = 701.0 meV/atom; SG = I-4m2
1.0
-1.6009 -2.7749 3.6633
3.5812 -3.0558 1.2331
-0.0022 4.8338 -0.5633
P Hg Ir
1 1 2
direct
0.5000 0.5000 0.0000
0.7500 0.2500 0.5000
0.0000 0.0000 0.0000
0.2500 0.7500 0.5000

---

Record 6
PBE HgP2Ir, relaxed; DFT total energy = -4.928 eV per atom; formation energy from the elements = 0.068 eV/atom; SG = Imm2
1.0
-0.6172 -5.7070 -8.1041
1.5503 -8.0455 -5.6119
-2.1702 6.0496 7.5711
P Hg Ir
2 1 1
direct
0.0960 0.0960 0.0000
0.7701 0.2701 0.5000
0.4366 0.4366 0.0000
0.1973 0.6973 0.5000

---

Record 7
PBE Hg2PIr, relaxed; DFT total energy = -3.073 eV per atom; formation energy from the elements = 0.645 eV/atom; SG = P4/mmm
1.0
-1.5675 2.4514 2.3944
-2.4314 1.0635 -2.6806
-3.3728 -3.7080 1.5882
Ir Hg P
1 2 1
direct
0.5000 0.5000 0.2500
0.0000 0.0000 0.0015
0.0000 0.0000 0.4985
0.5000 0.5000 0.7500

---

Record 8
PBE HgP2Ir, relaxed; DFT total energy = -5.113 eV per atom; formation energy from the elements = -0.117 eV/atom; SG = P2/m
1.0
3.7677 0.0000 0.0000
0.0000 4.8223 0.3931
0.0000 4.2042 5.7455
P Ir Hg
2 1 1
direct
0.0000 0.0333 0.7543
0.0000 0.4667 0.7457
0.5000 0.7500 0.7500
0.5000 0.2500 0.2500

---

Record 9
PBE HgP2Ir, relaxed; DFT total energy = -4.469 eV per atom; formation energy from the elements = 0.527 eV/atom; SG = Fmmm
1.0
4.4991 -0.0448 -0.0053
-1.1374 4.3532 -0.0053
1.6849 2.1594 3.5821
Ir P Hg
1 2 1
direct
0.0000 0.5000 0.5000
0.5000 0.5000 0.0000
0.0000 0.0000 0.0000
0.5000 0.0000 0.5000

---

Record 10
PBE Hg3PIr, relaxed; DFT total energy = -2.127 eV per atom; formation energy from the elements = 0.908 eV/atom; energy relative to the lowest polymorph listed for this composition = 0.0 meV/atom; SG = Pm-3m
1.0
-0.7929 -5.2051 -0.1812
4.9146 -0.8084 1.7170
-1.7242 0.0893 4.9773
Hg P Ir
3 1 1
direct
0.5000 0.0000 0.0000
0.0000 0.0000 0.5000
0.0000 0.5000 0.0000
0.5000 0.5000 0.5000
0.0000 0.0000 0.0000

---

Record 11
PBE Hg2PIr, relaxed; DFT total energy = -3.032 eV per atom; formation energy from the elements = 0.687 eV/atom; SG = R-3m
1.0
9.4388 -0.0723 -0.0424
8.9698 2.9392 -0.0424
8.9698 1.3969 2.5864
Hg Ir P
2 1 1
direct
0.9976 0.9976 0.9976
0.5024 0.5024 0.5024
0.2500 0.2500 0.2500
0.7500 0.7500 0.7500

---

Record 12
PBE HgPIr2, relaxed; DFT total energy = -5.762 eV per atom; formation energy from the elements = 0.096 eV/atom; energy relative to the lowest polymorph listed for this composition = 73.5 meV/atom; SG = P4/mmm
1.0
-0.3324 1.8757 -2.1841
1.9070 -1.5037 -1.5815
-5.5053 -4.1313 -2.7101
Ir P Hg
2 1 1
direct
0.0000 0.0000 0.4438
0.0000 0.0000 0.0562
0.5000 0.5000 0.2500
0.5000 0.5000 0.7500

---

Record 13
PBE Hg2PIr, relaxed; DFT total energy = -3.075 eV per atom; formation energy from the elements = 0.643 eV/atom; SG = C2/m
1.0
5.0593 2.7388 0.0609
-5.0593 2.7388 0.0609
0.0000 1.8314 2.7608
P Ir Hg
1 1 2
direct
0.0000 0.0000 0.0000
0.5000 0.5000 0.0000
0.0000 0.5000 0.0000
0.5000 0.0000 0.0000

---

Record 14
PBE HgP2Ir, relaxed; DFT total energy = -4.353 eV per atom; formation energy from the elements = 0.643 eV/atom; SG = Cmmm
1.0
-0.9283 3.6453 -2.7224
1.1281 -3.5233 -2.8063
-3.0535 -0.8744 -0.1297
P Hg Ir
2 1 1
direct
0.0000 0.0000 0.0000
0.5000 0.5000 0.0000
0.5000 0.0000 0.5000
0.0000 0.5000 0.5000

---

Record 15
PBE HgPIr2, relaxed; DFT total energy = -5.570 eV per atom; formation energy from the elements = 0.289 eV/atom; energy relative to the lowest polymorph listed for this composition = 266.1 meV/atom; SG = R3m
1.0
8.8051 -0.0291 -0.0171
8.3094 2.9128 -0.0171
8.3094 1.4001 2.5543
Hg Ir P
1 2 1
direct
0.7500 0.7500 0.7500
0.9935 0.9935 0.9935
0.2423 0.2423 0.2423
0.5143 0.5143 0.5143

---

Record 16
PBE HgP2Ir, relaxed; DFT total energy = -5.168 eV per atom; formation energy from the elements = -0.172 eV/atom; SG = C2/m
1.0
3.6607 0.0082 -0.0811
1.8402 3.1645 -0.0811
-1.6750 -0.9661 7.2950
Ir Hg P
1 1 2
direct
0.7500 0.7500 0.7500
0.2500 0.2500 0.2500
0.1342 0.1342 0.9056
0.3658 0.3658 0.5944

---

Record 17
PBE HgPIr, relaxed; DFT total energy = -4.844 eV per atom; formation energy from the elements = 0.014 eV/atom; energy relative to the lowest polymorph listed for this composition = 74.3 meV/atom; SG = I4mm
1.0
-1.8026 4.0985 5.2423
-4.3766 2.9907 4.4079
0.0551 -1.8393 2.2722
P Hg Ir
1 1 1
direct
0.7088 0.7089 0.2912
0.9882 0.9882 0.0118
0.3029 0.3030 0.6971

---

Record 18
PBE HgP2Ir, relaxed; DFT total energy = -4.149 eV per atom; formation energy from the elements = 0.847 eV/atom; SG = F-43m
1.0
4.5482 0.0000 0.0000
2.2741 3.9388 0.0000
2.2741 1.3129 3.7136
P Ir Hg
2 1 1
direct
0.0000 0.0000 0.0000
0.2500 0.2500 0.2500
0.7500 0.7500 0.7500
0.5000 0.5000 0.5000

---

Record 19
PBE HgPIr2, relaxed; DFT total energy = -5.140 eV per atom; formation energy from the elements = 0.718 eV/atom; energy relative to the lowest polymorph listed for this composition = 695.6 meV/atom; SG = F-43m
1.0
4.5103 0.0000 0.0000
2.2552 3.9061 0.0000
2.2552 1.3020 3.6827
P Ir Hg
1 2 1
direct
0.2500 0.2500 0.2500
0.7500 0.7500 0.7500
0.0000 0.0000 0.0000
0.5000 0.5000 0.5000

---

Record 20
PBE HgPIr, relaxed; DFT total energy = -4.395 eV per atom; formation energy from the elements = 0.463 eV/atom; energy relative to the lowest polymorph listed for this composition = 523.0 meV/atom; SG = F-43m
1.0
-0.5860 -4.2055 0.9230
-0.9745 -2.8053 -3.1721
2.9361 -2.9354 -1.2822
P Ir Hg
1 1 1
direct
0.0000 0.0000 0.0000
0.7500 0.7500 0.7500
0.5000 0.5000 0.5000